The following is a DFT calculation (PBE) of a geometry-optimized MgAsP2 structure.

Cell lengths 5.7620, 5.7620, 5.7620 Å; angles 142.42, 142.42, 54.19 degrees
Sites, in units of the cell vectors:
P  0.2500  0.7500  0.5000
As  0.5000  0.5000  0.0000
P  0.0000  0.0000  0.0000
Mg  0.7500  0.2500  0.5000

Results
* energy: -4.05 eV per atom
* symmetry: No. 119
* formation energy from the elements: 0.219 eV/atom
* excess energy over the best structure of this formula in the dataset: 8.640 kcal/mol of atoms

The following is a DFT calculation (PBE) of a geometry-optimized MgAs2P structure.

Cell lengths 5.6450, 5.6450, 3.8925 Å; angles 70.68, 70.68, 122.94 degrees
Sites, in units of the cell vectors:
As  0.0000  0.0000  0.0000
As  0.5000  0.5000  0.0000
P  0.0000  0.5000  0.5000
Mg  0.5000  0.0000  0.5000

Results
* energy: -4.13 eV per atom
* symmetry: No. 69
* formation energy from the elements: -0.057 eV/atom
* excess energy over the best structure of this formula in the dataset: 2.289 kcal/mol of atoms

The following is a DFT calculation (PBE) of a geometry-optimized MgAsP2 structure.

Cell lengths 4.6082, 4.6082, 4.6082 Å; angles 60.00, 60.00, 60.00 degrees
Sites, in units of the cell vectors:
P  0.0000  0.0000  0.0000
P  0.2500  0.2500  0.2500
As  0.5000  0.5000  0.5000
Mg  0.7500  0.7500  0.7500

Results
* energy: -3.91 eV per atom
* symmetry: No. 216
* formation energy from the elements: 0.359 eV/atom
* excess energy over the best structure of this formula in the dataset: 11.870 kcal/mol of atoms

The following is a DFT calculation (PBE) of a geometry-optimized Mg2AsP structure.

Cell lengths 4.1087, 4.8491, 3.7213 Å; angles 90.00, 90.00, 90.00 degrees
Sites, in units of the cell vectors:
As  0.0000  0.5000  0.5000
Mg  0.0000  0.0000  0.0000
Mg  0.5000  0.5000  0.0000
P  0.5000  0.0000  0.5000

Results
* energy: -3.51 eV per atom
* symmetry: No. 47
* formation energy from the elements: -0.199 eV/atom
* excess energy over the best structure of this formula in the dataset: 2.902 kcal/mol of atoms

The following is a DFT calculation (PBE) of a geometry-optimized MgAs2P structure.

Cell lengths 5.5504, 5.5504, 5.5504 Å; angles 143.61, 132.77, 61.05 degrees
Sites, in units of the cell vectors:
As  0.7824  0.2824  0.5000
As  0.0151  0.0151  0.0000
Mg  0.4871  0.4871  0.0000
P  0.2154  0.7154  0.5000

Results
* energy: -3.98 eV per atom
* symmetry: No. 44
* formation energy from the elements: 0.097 eV/atom
* excess energy over the best structure of this formula in the dataset: 5.849 kcal/mol of atoms

The following is a DFT calculation (PBE) of a geometry-optimized MgAsP2 structure.

Cell lengths 3.5164, 3.5164, 6.2800 Å; angles 90.00, 90.00, 90.00 degrees
Sites, in units of the cell vectors:
As  0.0000  0.0000  0.5385
P  0.5000  0.5000  0.1003
P  0.0000  0.0000  0.1700
Mg  0.5000  0.5000  0.6913

Results
* energy: -4.32 eV per atom
* symmetry: No. 99
* formation energy from the elements: -0.049 eV/atom
* excess energy over the best structure of this formula in the dataset: 2.442 kcal/mol of atoms